Entry from the Alexandria database: a relaxed structure of NaTl3Hg7 (GGA-PBE).

Unit cell a=6.488 b=8.858 c=8.858 alpha=82.55 beta=124.00 gamma=124.00
Fractional coordinates of all 11 atoms:
Hg 0.322 0.588 0.073
Hg 0.322 0.073 0.588
Hg 0.000 0.500 0.500
Na 0.500 0.500 0.500
Hg 0.678 0.412 0.927
Tl 0.500 0.000 0.000
Tl 0.000 0.766 0.234
Tl 0.000 0.234 0.766
Hg 0.734 0.804 0.804
Hg 0.678 0.927 0.412
Hg 0.266 0.196 0.196

**ΔE to the lowest computed polymorph**: 0.013 eV per atom
**Total magnetization**: 0.000 μB per formula unit
**Crystal system**: monoclinic
**Formation enthalpy at 0 K**: -0.03 eV/atom



Entry from the Alexandria database: a relaxed structure of NaTlHg2 (GGA-PBE).

Unit cell a=4.380 b=4.380 c=7.847 alpha=73.80 beta=73.80 gamma=60.00
Fractional coordinates of all 4 atoms:
Tl 0.498 0.498 0.505
Na 0.668 0.668 0.996
Hg 0.254 0.254 0.237
Hg 0.079 0.079 0.763

**Total magnetization**: 0.000 μB per formula unit
**Crystal system**: trigonal
**Formation enthalpy at 0 K**: -0.05 eV/atom



Entry from the Alexandria database: a relaxed structure of Na2Tl5Hg2 (GGA-PBE).

Unit cell a=8.833 b=7.820 c=8.759 alpha=116.51 beta=90.00 gamma=90.00
Fractional coordinates of all 18 atoms:
Hg 0.625 0.877 0.000
Na 0.500 0.719 0.437
Tl 0.689 0.049 0.737
Na 0.000 0.219 0.437
Tl 0.000 0.000 0.000
Tl 0.811 0.811 0.263
Tl 0.811 0.549 0.737
Tl 0.689 0.311 0.263
Tl 0.189 0.189 0.737
Hg 0.125 0.623 0.000
Na 0.500 0.281 0.563
Tl 0.311 0.951 0.263
Tl 0.189 0.451 0.263
Hg 0.875 0.377 0.000
Hg 0.375 0.123 0.000
Tl 0.311 0.689 0.737
Na 0.000 0.781 0.563
Tl 0.500 0.500 0.000

**ΔE to the lowest computed polymorph**: 0.044 eV per atom
**Total magnetization**: 0.000 μB per formula unit
**Crystal system**: orthorhombic
**Formation enthalpy at 0 K**: -0.02 eV/atom



Entry from the Alexandria database: a relaxed structure of Na2Tl3Hg3 (GGA-PBE).

Unit cell a=5.391 b=5.391 c=9.256 alpha=73.07 beta=73.07 gamma=60.00
Fractional coordinates of all 8 atoms:
Hg 0.372 0.372 0.885
Hg 0.878 0.878 0.365
Tl 0.246 0.246 0.262
Na 0.003 0.003 0.991
Na 0.497 0.497 0.509
Hg 0.124 0.124 0.629
Tl 0.754 0.754 0.737
Tl 0.626 0.626 0.122

**ΔE to the lowest computed polymorph**: 0.000 eV per atom
**Total magnetization**: 0.000 μB per formula unit
**Crystal system**: trigonal
**Formation enthalpy at 0 K**: -0.13 eV/atom



Entry from the Alexandria database: a relaxed structure of Na2Tl2Hg3 (GGA-PBE).

Unit cell a=3.452 b=4.853 c=11.766 alpha=101.90 beta=90.00 gamma=90.00
Fractional coordinates of all 7 atoms:
Na 0.000 0.861 0.722
Tl 0.500 0.291 0.582
Tl 0.500 0.709 0.418
Hg 0.500 0.570 0.140
Hg 0.500 0.430 0.860
Na 0.000 0.139 0.278
Hg 0.000 0.000 0.000

**ΔE to the lowest computed polymorph**: 0.010 eV per atom
**Total magnetization**: 0.000 μB per formula unit
**Crystal system**: orthorhombic
**Formation enthalpy at 0 K**: -0.12 eV/atom



Entry from the Alexandria database: a relaxed structure of NaTl4Hg (GGA-PBE).

Unit cell a=6.473 b=6.473 c=6.473 alpha=60.00 beta=60.00 gamma=60.00
Fractional coordinates of all 6 atoms:
Tl 0.124 0.625 0.625
Tl 0.625 0.625 0.625
Na 0.250 0.250 0.250
Tl 0.625 0.124 0.625
Tl 0.625 0.625 0.124
Hg 0.000 0.000 0.000

**ΔE to the lowest computed polymorph**: 0.058 eV per atom
**Total magnetization**: 0.000 μB per formula unit
**Crystal system**: cubic
**Formation enthalpy at 0 K**: 0.03 eV/atom



Entry from the Alexandria database: a relaxed structure of Na3Tl3Hg4 (GGA-PBE).

Unit cell a=3.623 b=8.783 c=8.783 alpha=89.79 beta=90.00 gamma=90.00
Fractional coordinates of all 10 atoms:
Tl 0.000 0.995 0.505
Hg 0.000 0.128 0.137
Na 0.500 0.668 0.669
Na 0.500 0.834 0.166
Hg 0.000 0.863 0.872
Tl 0.000 0.495 0.005
Hg 0.000 0.635 0.365
Tl 0.500 0.171 0.829
Na 0.500 0.331 0.332
Hg 0.000 0.380 0.620

**Total magnetization**: 0.000 μB per formula unit
**Crystal system**: orthorhombic
**Formation enthalpy at 0 K**: -0.14 eV/atom



Entry from the Alexandria database: a relaxed structure of Na2TlHg8 (GGA-PBE).

Unit cell a=5.270 b=8.821 c=9.400 alpha=62.02 beta=73.25 gamma=52.09
Fractional coordinates of all 11 atoms:
Hg 0.500 0.203 0.595
Hg 0.651 0.600 0.000
Na 0.000 0.322 0.355
Hg 0.789 0.084 0.288
Hg 0.789 0.372 0.712
Tl 0.500 0.000 0.000
Na 0.000 0.678 0.645
Hg 0.349 0.400 0.000
Hg 0.211 0.916 0.712
Hg 0.500 0.797 0.405
Hg 0.211 0.628 0.288

**Total magnetization**: 0.000 μB per formula unit
**Crystal system**: monoclinic
**Formation enthalpy at 0 K**: -0.12 eV/atom



Entry from the Alexandria database: a relaxed structure of NaTl4Hg4 (GGA-PBE).

Unit cell a=4.154 b=8.098 c=8.098 alpha=86.23 beta=75.14 gamma=75.14
Fractional coordinates of all 9 atoms:
Hg 0.332 0.000 0.335
Hg 0.332 0.335 0.000
Tl 0.000 0.324 0.676
Tl 0.676 0.324 0.324
Hg 0.668 0.000 0.665
Na 0.000 0.000 0.000
Tl 0.324 0.676 0.676
Hg 0.668 0.665 0.000
Tl 0.000 0.676 0.324

**ΔE to the lowest computed polymorph**: 0.000 eV per atom
**Total magnetization**: 0.000 μB per formula unit
**Crystal system**: tetragonal
**Formation enthalpy at 0 K**: -0.07 eV/atom



Entry from the Alexandria database: a relaxed structure of Na5Tl4Hg (GGA-PBE).

Unit cell a=3.736 b=3.736 c=19.809 alpha=90.00 beta=90.00 gamma=90.00
Fractional coordinates of all 10 atoms:
Na 0.500 0.500 0.298
Tl 0.000 0.000 0.398
Hg 0.000 0.000 0.000
Tl 0.000 0.000 0.805
Tl 0.000 0.000 0.602
Na 0.500 0.500 0.907
Tl 0.000 0.000 0.195
Na 0.500 0.500 0.500
Na 0.500 0.500 0.093
Na 0.500 0.500 0.702

**Total magnetization**: 0.000 μB per formula unit
**Crystal system**: tetragonal
**Formation enthalpy at 0 K**: -0.12 eV/atom



Entry from the Alexandria database: a relaxed structure of Na5Tl2Hg2 (GGA-PBE).

Unit cell a=8.021 b=7.889 c=9.369 alpha=114.90 beta=90.00 gamma=90.00
Fractional coordinates of all 18 atoms:
Na 0.316 0.951 0.266
Na 0.684 0.049 0.734
Na 0.184 0.451 0.266
Na 0.816 0.815 0.266
Na 0.816 0.549 0.734
Hg 0.630 0.871 0.000
Na 0.684 0.315 0.266
Hg 0.130 0.629 0.000
Tl 0.000 0.777 0.554
Tl 0.000 0.223 0.446
Na 0.184 0.185 0.734
Na 0.000 0.000 0.000
Hg 0.370 0.129 0.000
Na 0.500 0.500 0.000
Hg 0.870 0.371 0.000
Na 0.316 0.685 0.734
Tl 0.500 0.723 0.446
Tl 0.500 0.277 0.554

**ΔE to the lowest computed polymorph**: 0.036 eV per atom
**Total magnetization**: 0.000 μB per formula unit
**Crystal system**: orthorhombic
**Formation enthalpy at 0 K**: -0.11 eV/atom



Entry from the Alexandria database: a relaxed structure of Na2Tl9Hg (GGA-PBE).

Unit cell a=4.886 b=4.886 c=14.606 alpha=90.00 beta=90.00 gamma=90.00
Fractional coordinates of all 12 atoms:
Na 0.000 0.000 0.663
Tl 0.500 0.000 0.500
Tl 0.500 0.000 0.168
Tl 0.500 0.500 0.000
Na 0.000 0.000 0.337
Tl 0.500 0.500 0.338
Tl 0.500 0.000 0.832
Hg 0.000 0.000 0.000
Tl 0.000 0.500 0.500
Tl 0.000 0.500 0.832
Tl 0.500 0.500 0.662
Tl 0.000 0.500 0.168

**Total magnetization**: 0.000 μB per formula unit
**Crystal system**: tetragonal
**Formation enthalpy at 0 K**: -0.04 eV/atom